(1)
Below is a relaxed CsNpSbO6 crystal, with properties calculated at the PBE level.

Cell lengths 7.3954, 7.9011, 7.6677 Å; angles 121.01, 118.83, 90.00 degrees
Last column: magnetic moment on the atom in μB.
Fractional positions:
Cs: 0.8846 0.6346 0.7692  0.00
Cs: 0.1154 0.3654 0.2308  0.00
Np: 0.5000 0.5000 0.0000  1.22
Np: 0.5000 0.0000 0.0000  1.22
Sb: 0.5000 0.0000 0.5000  0.00
Sb: 0.0000 0.0000 0.5000  0.00
O: 0.4330 0.6830 0.8660  -0.06
O: 0.8186 0.0686 0.6372  -0.01
O: 0.8197 0.0576 0.2507  -0.04
O: 0.4310 0.6930 0.2507  -0.04
O: 0.4310 0.0576 0.2507  -0.04
O: 0.8197 0.6930 0.2507  -0.04
O: 0.5670 0.3170 0.1340  -0.06
O: 0.1814 0.9314 0.3628  -0.01
O: 0.1803 0.9424 0.7493  -0.04
O: 0.5690 0.3070 0.7493  -0.04
O: 0.5690 0.9424 0.7493  -0.04
O: 0.1803 0.3070 0.7493  -0.04

Summary:
As for the space group: No. 74.

=====

(2)
Below is a relaxed CsNpSb2O8 crystal, with properties calculated at the PBE level.

Cell lengths 5.6685, 5.6685, 9.8570 Å; angles 90.00, 90.00, 120.00 degrees
Last column: magnetic moment on the atom in μB.
Fractional positions:
Cs: 0.0000 0.0000 0.0000  0.00
Np: 0.0000 0.0000 0.5000  2.16
Sb: 0.6667 0.3333 0.2948  0.01
Sb: 0.3333 0.6667 0.7052  0.01
O: 0.3333 0.6667 0.8934  0.00
O: 0.3268 0.2711 0.3717  -0.03
O: 0.7289 0.0557 0.3717  -0.03
O: 0.6667 0.3333 0.1066  0.00
O: 0.2711 0.9443 0.6283  -0.03
O: 0.6732 0.7289 0.6283  -0.03
O: 0.0557 0.3268 0.6283  -0.03
O: 0.9443 0.6732 0.3717  -0.03

Summary:
As for the space group: No. 147.

=====

(3)
Below is a relaxed Cs2NpSc3O8 crystal, with properties calculated at the PBE level.

Cell lengths 6.7735, 6.7735, 8.1365 Å; angles 65.40, 65.40, 60.00 degrees
Last column: magnetic moment on the atom in μB.
Fractional positions:
Cs: 0.1244 0.1244 0.6268  0.00
Cs: 0.4869 0.4869 0.5393  0.00
Np: 0.9504 0.9504 0.1489  2.21
Sc: 0.4592 0.0072 0.0743  0.01
Sc: 0.0072 0.4592 0.0743  0.01
Sc: 0.4592 0.4592 0.0743  0.01
O: 0.2590 0.2590 0.2229  0.00
O: 0.8616 0.8616 0.4152  -0.13
O: 0.1934 0.1934 0.9372  -0.02
O: 0.6760 0.1934 0.9372  -0.02
O: 0.1934 0.6760 0.9372  -0.02
O: 0.7504 0.3211 0.1782  -0.02
O: 0.3211 0.7504 0.1782  -0.02
O: 0.7504 0.7504 0.1782  -0.02

Summary:
As for the space group: No. 160.

=====

(4)
Below is a relaxed CsNpSc2O8 crystal, with properties calculated at the PBE level.

Cell lengths 5.0338, 5.0323, 7.5414 Å; angles 89.86, 89.86, 88.49 degrees
Last column: magnetic moment on the atom in μB.
Fractional positions:
Cs: 0.0000 0.0000 0.5000  0.00
Np: 0.0000 0.0000 0.0000  0.28
Sc: 0.4998 0.4998 0.7952  0.00
Sc: 0.5002 0.5002 0.2048  0.00
O: 0.1969 0.8002 0.1825  -0.01
O: 0.6891 0.6898 0.9997  -0.01
O: 0.8009 0.1976 0.1825  -0.01
O: 0.8031 0.1998 0.8175  -0.01
O: 0.3109 0.3102 0.0003  -0.01
O: 0.1991 0.8024 0.8175  -0.01
O: 0.6017 0.6021 0.4990  0.09
O: 0.3983 0.3979 0.5010  0.09

Summary:
As for the space group: No. 12.

=====

(5)
Below is a relaxed CsNpSeO2 crystal, with properties calculated at the PBE level.

Cell lengths 4.1323, 4.1318, 7.6994 Å; angles 90.00, 90.00, 90.00 degrees
Last column: magnetic moment on the atom in μB.
Fractional positions:
Cs: 0.5000 0.5000 0.6379  -0.01
Np: 0.0000 0.0000 0.0388  2.50
Se: 0.0000 0.0000 0.3825  -0.21
O: 0.0000 0.5000 0.9704  -0.11
O: 0.5000 0.0000 0.9704  -0.11

Summary:
As for the space group: No. 99.

=====

(6)
Below is a relaxed CsNpSe2O8 crystal, with properties calculated at the PBE level.

Cell lengths 5.9568, 5.9568, 8.3240 Å; angles 69.03, 69.03, 60.00 degrees
Fractional positions:
Cs: 0.5000 0.5000 0.5000
Np: 0.0000 0.0000 0.0000
Se: 0.2766 0.2766 0.1701
Se: 0.7234 0.7234 0.8299
O: 0.2047 0.2047 0.3858
O: 0.6507 0.2191 0.1471
O: 0.7953 0.7953 0.6142
O: 0.9832 0.6507 0.1471
O: 0.0168 0.3493 0.8529
O: 0.2191 0.9832 0.1471
O: 0.7809 0.0168 0.8529
O: 0.3493 0.7809 0.8529

Summary:
As for the space group: No. 148.

=====

(7)
Below is a relaxed Cs3SmNp2O9 crystal, with properties calculated at the PBE level.

Cell lengths 6.2658, 6.2658, 7.6732 Å; angles 90.00, 90.00, 120.00 degrees
Last column: magnetic moment on the atom in μB.
Fractional positions:
Cs: 0.3333 0.6667 0.6633  0.00
Cs: 0.0000 0.0000 0.0000  0.00
Cs: 0.6667 0.3333 0.3367  0.00
Sm: 0.0000 0.0000 0.5000  -0.01
Np: 0.3333 0.6667 0.1624  1.24
Np: 0.6667 0.3333 0.8376  1.24
O: 0.8204 0.1796 0.6838  -0.05
O: 0.8204 0.6408 0.6838  -0.05
O: 0.3592 0.1796 0.6838  -0.05
O: 0.6408 0.8204 0.3162  -0.05
O: 0.1796 0.3592 0.3162  -0.05
O: 0.1796 0.8204 0.3162  -0.05
O: 0.5000 0.0000 0.0000  -0.06
O: 0.0000 0.5000 0.0000  -0.06
O: 0.5000 0.5000 0.0000  -0.06

Summary:
As for the space group: No. 164.

=====

(8)
Below is a relaxed CsSm2NpO8 crystal, with properties calculated at the PBE level.

Cell lengths 4.5320, 5.3901, 8.1776 Å; angles 88.18, 85.21, 91.55 degrees
Fractional positions:
Cs: 0.0000 0.0000 0.5000
Sm: 0.4395 0.4732 0.7810
Sm: 0.5605 0.5268 0.2190
Np: 0.0000 0.0000 0.0000
O: 0.0819 0.7228 0.1763
O: 0.6512 0.7556 0.9744
O: 0.8083 0.1619 0.1910
O: 0.9181 0.2772 0.8237
O: 0.3488 0.2444 0.0256
O: 0.1917 0.8381 0.8090
O: 0.6021 0.6128 0.4990
O: 0.3979 0.3872 0.5010

Summary:
As for the space group: No. 2.

=====

(9)
Below is a relaxed Cs3Sr2NpO6 crystal, with properties calculated at the PBE level.

Cell lengths 6.4392, 6.4392, 7.2024 Å; angles 98.48, 98.48, 119.91 degrees
Last column: magnetic moment on the atom in μB.
Fractional positions:
Cs: 0.1682 0.8318 0.5000  0.00
Cs: 0.8318 0.1682 0.5000  0.00
Cs: 0.5000 0.5000 0.5000  0.00
Sr: 0.3338 0.6662 0.0000  0.00
Sr: 0.6662 0.3338 0.0000  0.00
Np: 0.0000 0.0000 0.0000  2.20
O: 0.9431 0.6575 0.8305  -0.04
O: 0.7700 0.7700 0.1751  -0.04
O: 0.0569 0.3425 0.1695  -0.04
O: 0.6575 0.9431 0.8305  -0.04
O: 0.2300 0.2300 0.8249  -0.04
O: 0.3425 0.0569 0.1695  -0.04

Summary:
As for the space group: No. 12.

=====

(10)
Below is a relaxed CsSr2NpO6 crystal, with properties calculated at the PBE level.

Cell lengths 6.2964, 6.2961, 6.7173 Å; angles 62.05, 62.05, 60.00 degrees
Fractional positions:
Cs: 0.7895 0.7895 0.6314
Sr: 0.5311 0.5311 0.4066
Sr: 0.0070 0.0070 0.9790
Np: 0.3277 0.3277 0.0168
O: 0.5413 0.2743 0.2038
O: 0.2743 0.9806 0.2038
O: 0.9806 0.5413 0.2038
O: 0.3432 0.6774 0.7900
O: 0.6774 0.1894 0.7899
O: 0.1895 0.3432 0.7900

Summary:
As for the space group: No. 146.

=====

(11)
Below is a relaxed Cs2Sr2NpO6 crystal, with properties calculated at the PBE level.

Cell lengths 6.2837, 6.2837, 7.2842 Å; angles 98.34, 98.34, 118.88 degrees
Last column: magnetic moment on the atom in μB.
Fractional positions:
Cs: 0.8304 0.1696 0.0000  0.00
Cs: 0.1696 0.8304 0.0000  0.00
Sr: 0.3361 0.6639 0.5000  0.00
Sr: 0.6639 0.3361 0.5000  0.00
Np: 0.0000 0.0000 0.5000  1.22
O: 0.7793 0.7793 0.6656  -0.04
O: 0.0472 0.3334 0.6597  -0.04
O: 0.2207 0.2207 0.3344  -0.04
O: 0.3334 0.0472 0.6597  -0.04
O: 0.9528 0.6666 0.3403  -0.04
O: 0.6666 0.9528 0.3403  -0.04

Summary:
As for the space group: No. 12.

=====

(12)
Below is a relaxed Cs3SrNp2O9 crystal, with properties calculated at the PBE level.

Cell lengths 6.3587, 6.3587, 7.8150 Å; angles 90.00, 90.00, 120.00 degrees
Last column: magnetic moment on the atom in μB.
Fractional positions:
Cs: 0.3333 0.6667 0.6582  0.00
Cs: 0.0000 0.0000 0.0000  0.00
Cs: 0.6667 0.3333 0.3418  0.00
Sr: 0.0000 0.0000 0.5000  0.00
Np: 0.3333 0.6667 0.1541  0.65
Np: 0.6667 0.3333 0.8459  0.65
O: 0.8132 0.1868 0.6980  -0.03
O: 0.8132 0.6265 0.6980  -0.03
O: 0.3735 0.1868 0.6980  -0.03
O: 0.6265 0.8132 0.3020  -0.03
O: 0.1868 0.3735 0.3020  -0.03
O: 0.1868 0.8132 0.3020  -0.03
O: 0.5000 0.0000 0.0000  -0.03
O: 0.0000 0.5000 0.0000  -0.03
O: 0.5000 0.5000 0.0000  -0.03

Summary:
As for the space group: No. 164.

=====

Results for energy relative to the elements, uncorrected: -2.17, -1.73, -2.75, -2.51, -1.96, -1.46, -2.61, -2.56, -2.32, -2.65, -2.56, -2.50 (in eV/atom, following the order of the records).